1.
Density functional theory data (PBE) for a relaxed structure of Mn3NbOs.

The structure belongs to space group Pm-3m (No. 221); the cell edges are 4.564, 4.564 and 4.564 Å and the angles 90.00°, 90.00° and 90.00°. The asymmetric unit holds Mn at (0.000, 0.000, 0.500), Nb at (0.500, 0.500, 0.500) and Os at (0.000, 0.000, 0.000).

The value obtained for the formation energy is 1.313 eV per atom. For the electronic total energy, the calculation gives -8.4485 eV/atom. The value obtained for the calculated density is 7.82 g/cm3.


2.
Density functional theory data (PBE) for a relaxed structure of Mn8NbOs3.

The structure belongs to space group P3m1 (No. 156); the cell edges are 4.6870, 4.6870 and 7.6807 Å and the angles 90.00°, 90.00° and 120.00°. The asymmetric unit holds Mn at (0.0000, 0.0000, 0.0000), Mn at (0.0000, 0.0000, 0.4993), Mn at (0.1748, 0.3497, 0.2549), Mn at (0.3477, 0.1739, 0.7471), Nb at (0.6667, 0.3333, 0.0635), Os at (0.3333, 0.6667, 0.5696), Os at (0.3333, 0.6667, 0.9252) and Os at (0.6667, 0.3333, 0.4331).

The value obtained for the formation energy is -0.082 eV per atom. For the electronic total energy, the calculation gives -9.8417 eV/atom. The value obtained for the calculated density is 12.54 g/cm3.


Magnetization / μB/cell: 6.557, 0.335